# CaNdNi2

Crystalline CaNdNi2 at its relaxed geometry (GGA-PBE, Alexandria via LeMat-Bulk).

Values from the calculation:
The calculation puts the polymorph energy (0 for the lowest one) at 0.091 eV per atom. Its formation energy from the elements is -0.14 eV per atom. The symmetry is No. 225.

Cell lengths 4.880, 4.880, 4.880 Å; angles 60.00, 60.00, 60.00 degrees
Positions (direct):
Ca  0.500  0.500  0.500
Ni  0.250  0.250  0.250
Ni  0.750  0.750  0.750
Nd  0.000  0.000  0.000

---

# SrPd4

Crystalline SrPd4 at its relaxed geometry (GGA-PBE, Alexandria via LeMat-Bulk).

Values from the calculation:
Its formation energy from the elements is 0.39 eV per atom. The symmetry is No. 139.

Cell lengths 6.355, 6.355, 6.355 Å; angles 93.07, 93.07, 153.22 degrees
Positions (direct):
Pd  0.684  0.000  0.684
Pd  0.000  0.316  0.316
Pd  0.316  0.000  0.316
Pd  0.000  0.684  0.684
Sr  0.000  0.000  0.000

---

# K2Dy2PdO6

Crystalline K2Dy2PdO6 at its relaxed geometry (GGA-PBE, Alexandria via LeMat-Bulk).

Values from the calculation:
The uncorrected formation energy is -2.11 eV per atom. The symmetry is No. 12.

Cell lengths 5.770, 5.770, 6.594 Å; angles 97.54, 97.54, 119.60 degrees
Positions (direct):
O  0.638  0.952  0.326
O  0.252  0.252  0.324
O  0.362  0.048  0.674
O  0.748  0.748  0.676
O  0.952  0.638  0.326
O  0.048  0.362  0.674
Pd  0.000  0.000  0.500
K  0.159  0.841  0.000
K  0.841  0.159  0.000
Dy  0.665  0.335  0.500
Dy  0.335  0.665  0.500

---

# LiGa3Os

Crystalline LiGa3Os at its relaxed geometry (GGA-PBE, Alexandria via LeMat-Bulk).

Values from the calculation:
The calculation puts the polymorph energy (0 for the lowest one) at 0.018 eV per atom. Its formation energy from the elements is -0.08 eV per atom. The symmetry is No. 221.

Cell lengths 4.817, 4.817, 4.817 Å; angles 90.00, 90.00, 90.00 degrees
Positions (direct):
Li  0.500  0.500  0.500
Ga  0.000  0.500  0.000
Ga  0.000  0.000  0.500
Ga  0.500  0.000  0.000
Os  0.000  0.000  0.000

---

# Rb2YTaBr6

Crystalline Rb2YTaBr6 at its relaxed geometry (GGA-PBE, Alexandria via LeMat-Bulk).

Values from the calculation:
The uncorrected formation energy is -1.12 eV per atom. The symmetry is No. 225.

Cell lengths 7.766, 7.766, 7.769 Å; angles 60.01, 60.01, 90.00 degrees
Positions (direct):
Rb  0.250  0.750  0.500
Rb  0.750  0.250  0.500
Y  0.500  0.500  0.000
Ta  0.000  0.000  0.000
Br  0.757  0.757  0.487
Br  0.757  0.243  0.000
Br  0.757  0.757  0.000
Br  0.243  0.243  0.513
Br  0.243  0.243  0.000
Br  0.243  0.757  0.000

---

# ErNp2Cr2C4

Crystalline ErNp2Cr2C4 at its relaxed geometry (GGA-PBE, Alexandria via LeMat-Bulk).

Values from the calculation:
Its formation energy from the elements is 0.13 eV per atom. The symmetry is No. 12.

Cell lengths 3.231, 6.755, 6.728 Å; angles 118.33, 90.00, 103.84 degrees
Positions (direct):
C  0.524  0.048  0.743
C  0.760  0.520  0.797
C  0.240  0.480  0.203
C  0.476  0.952  0.257
Np  0.897  0.795  0.431
Np  0.103  0.205  0.569
Cr  0.318  0.636  0.003
Cr  0.682  0.364  0.997
Er  0.000  0.000  0.000

---

# Na2AcGaS4

Crystalline Na2AcGaS4 at its relaxed geometry (GGA-PBE, Alexandria via LeMat-Bulk).

Values from the calculation:
The uncorrected formation energy is -1.21 eV per atom. The symmetry is No. 15.

Cell lengths 8.146, 8.146, 8.637 Å; angles 121.58, 121.58, 90.24 degrees
Positions (direct):
S  0.782  0.795  0.983
S  0.295  0.282  0.483
S  0.252  0.757  0.503
S  0.218  0.205  0.017
S  0.705  0.718  0.517
S  0.748  0.243  0.497
S  0.257  0.752  0.003
S  0.743  0.248  0.997
Ac  0.000  0.500  0.500
Ac  0.000  0.500  0.000
Na  0.500  0.500  0.000
Na  0.500  0.000  0.500
Na  0.500  0.000  0.000
Na  0.000  0.000  0.500
Ga  0.500  0.500  0.500
Ga  0.000  0.000  0.000

---

# PuTaAgO6

Crystalline PuTaAgO6 at its relaxed geometry (GGA-PBE, Alexandria via LeMat-Bulk).

Values from the calculation:
The uncorrected formation energy is -2.15 eV per atom. The symmetry is No. 163.

Cell lengths 5.536, 5.536, 9.908 Å; angles 90.00, 90.00, 120.00 degrees
Positions (direct):
O  0.366  0.990  0.643
O  0.376  0.366  0.357
O  0.366  0.376  0.857
O  0.634  0.010  0.357
O  0.010  0.634  0.857
O  0.624  0.634  0.643
O  0.990  0.624  0.357
O  0.376  0.010  0.143
O  0.624  0.990  0.857
O  0.010  0.376  0.643
O  0.990  0.366  0.143
O  0.634  0.624  0.143
Ag  0.000  0.000  0.500
Ag  0.000  0.000  0.000
Ta  0.333  0.667  0.750
Ta  0.667  0.333  0.250
Pu  0.667  0.333  0.750
Pu  0.333  0.667  0.250

---

# GaFeReH

Crystalline GaFeReH at its relaxed geometry (GGA-PBE, Alexandria via LeMat-Bulk).

Values from the calculation:
The calculation puts the polymorph energy (0 for the lowest one) at 0.050 eV per atom. The symmetry is No. 8.

Cell lengths 6.632, 2.835, 4.719 Å; angles 90.00, 98.27, 90.00 degrees
Positions (direct):
Re  0.664  0.000  0.275
Re  0.664  0.500  0.775
Fe  0.969  0.500  0.178
Fe  0.969  0.000  0.678
H  0.054  0.500  0.536
H  0.054  0.000  0.036
Ga  0.325  0.000  0.523
Ga  0.325  0.500  0.023

---

# RbPtAu2

Crystalline RbPtAu2 at its relaxed geometry (GGA-PBE, Alexandria via LeMat-Bulk).

Values from the calculation:
The calculation puts the polymorph energy (0 for the lowest one) at 0.000 eV per atom. Its formation energy from the elements is -0.18 eV per atom. The symmetry is No. 166.

Cell lengths 4.729, 4.729, 6.652 Å; angles 69.18, 69.18, 60.00 degrees
Positions (direct):
Pt  0.000  0.000  0.000
Au  0.678  0.678  0.965
Au  0.322  0.322  0.035
Rb  0.500  0.500  0.500

---

# Cs2PrNp2S7

Crystalline Cs2PrNp2S7 at its relaxed geometry (GGA-PBE, Alexandria via LeMat-Bulk).

Values from the calculation:
The uncorrected formation energy is -1.32 eV per atom. The symmetry is No. 139.

Cell lengths 5.171, 5.171, 14.231 Å; angles 79.52, 79.52, 90.00 degrees
Positions (direct):
Np  0.591  0.591  0.818
Np  0.409  0.409  0.182
S  0.429  0.929  0.142
S  0.682  0.682  0.637
S  0.500  0.500  0.000
S  0.929  0.429  0.142
S  0.318  0.318  0.363
S  0.071  0.571  0.858
S  0.571  0.071  0.858
Cs  0.187  0.187  0.627
Cs  0.813  0.813  0.373
Pr  0.000  0.000  0.000

---

# CuReAsSe2

Crystalline CuReAsSe2 at its relaxed geometry (GGA-PBE, Alexandria via LeMat-Bulk).

Values from the calculation:
The calculation puts the polymorph energy (0 for the lowest one) at 0.000 eV per atom. The uncorrected formation energy is 0.83 eV per atom. The symmetry is No. 123.

Cell lengths 4.898, 4.898, 4.828 Å; angles 90.00, 90.00, 90.00 degrees
Positions (direct):
As  0.000  0.000  0.500
Re  0.000  0.000  0.000
Se  0.500  0.000  0.000
Se  0.000  0.500  0.000
Cu  0.500  0.500  0.500

---

Number 1: total magnetization 0.0 μB/f.u.. Number 2: total magnetization 0.0 μB/f.u.. Number 3: total magnetization 0.0 μB/f.u.. Number 4: total magnetization 0.0 μB/f.u.. Number 5: total magnetization 2.0 μB/f.u.. Number 6: total magnetization 0.0 μB/f.u.. Number 7: total magnetization 0.0 μB/f.u.. Number 8: total magnetization 2.0 μB/f.u.. Number 9: total magnetization 1.1 μB/f.u.. Number 10: total magnetization 0.0 μB/f.u.. Number 11: total magnetization 5.0 μB/f.u.. Number 12: total magnetization 0.0 μB/f.u..